This record from Alexandria via LeMat-Bulk describes crystalline Cs2ScMnF6 at its relaxed geometry. The functional is PBE with a Hubbard U.

Computed properties:
- Final energy: -5.57 eV/atom
- Magnetic moment: 6.02 μB per formula unit

CIF file:
```
data_Cs2ScMnF6
_chemical_formula_sum 'Cs4 Sc2 Mn2 F12'
_cell_length_a 6.324
_cell_length_b 6.324
_cell_length_c 8.762
_cell_angle_alpha 90.00
_cell_angle_beta 90.00
_cell_angle_gamma 90.00
_symmetry_space_group_name_H-M 'I 4/m m m'
_symmetry_Int_Tables_number 139
_symmetry_space_group_name_Hall '-I 4 2'
loop_
_atom_site_label
_atom_site_type_symbol
_atom_site_fract_x
_atom_site_fract_y
_atom_site_fract_z
Cs1 Cs 0.000 0.500 0.250
Sc1 Sc 0.000 0.000 0.000
Mn1 Mn 0.000 0.000 0.500
F1 F 0.000 0.000 0.242
F2 F 0.245 0.245 0.500
```